1.
Hf4W2Au3C3 | PBE | optimized geometry

Properties
VASP energy: -9.12 eV/atom

Lattice parameters (Å, degrees): 5.604 5.604 14.166 101.61 101.61 60.11
Element x y z (fractional)
1 Hf 0.040 0.192 0.096
2 Hf 0.126 0.302 0.404
3 Hf 0.192 0.040 0.596
4 Hf 0.302 0.126 0.904
5 Hf 0.698 0.874 0.096
6 Hf 0.808 0.960 0.404
7 Hf 0.874 0.698 0.596
8 Hf 0.960 0.808 0.904
9 W 0.351 0.523 0.072
10 W 0.477 0.649 0.428
11 W 0.523 0.351 0.572
12 W 0.649 0.477 0.928
13 Au 0.121 0.879 0.250
14 Au 0.286 0.418 0.752
15 Au 0.418 0.286 0.252
16 Au 0.582 0.714 0.748
17 Au 0.714 0.582 0.248
18 Au 0.879 0.121 0.750
19 C 0.000 0.500 0.000
20 C 0.166 0.668 0.500
21 C 0.332 0.834 0.000
22 C 0.500 0.000 0.500
23 C 0.668 0.166 0.000
24 C 0.834 0.332 0.500

---

2.
TlPd9 | PBE | optimized geometry

Properties
VASP energy: -4.88 eV/atom

Lattice parameters (Å, degrees): 2.841 3.818 40.179 90.00 90.00 90.00
Element x y z (fractional)
1 Tl 0.250 0.250 0.162
2 Tl 0.750 0.750 0.838
3 Pd 0.250 0.250 0.240
4 Pd 0.250 0.250 0.310
5 Pd 0.250 0.250 0.379
6 Pd 0.250 0.250 0.448
7 Pd 0.250 0.250 0.517
8 Pd 0.250 0.250 0.586
9 Pd 0.250 0.250 0.656
10 Pd 0.250 0.250 0.726
11 Pd 0.250 0.250 0.796
12 Pd 0.750 0.750 0.204
13 Pd 0.750 0.750 0.274
14 Pd 0.750 0.750 0.344
15 Pd 0.750 0.750 0.414
16 Pd 0.750 0.750 0.483
17 Pd 0.750 0.750 0.552
18 Pd 0.750 0.750 0.621
19 Pd 0.750 0.750 0.690
20 Pd 0.750 0.750 0.760

---

3.
SrAl2Au3 | PBE | optimized geometry

Properties
VASP energy: -3.81 eV/atom

Lattice parameters (Å, degrees): 6.881 6.881 5.578 90.00 90.00 76.77
Element x y z (fractional)
1 Sr 0.178 0.822 0.750
2 Sr 0.822 0.178 0.250
3 Al 0.296 0.296 0.000
4 Al 0.296 0.296 0.500
5 Al 0.704 0.704 0.000
6 Al 0.704 0.704 0.500
7 Au 0.020 0.602 0.250
8 Au 0.398 0.980 0.250
9 Au 0.435 0.565 0.250
10 Au 0.565 0.435 0.750
11 Au 0.602 0.020 0.750
12 Au 0.980 0.398 0.750

---

4.
BaPrTe2AuSe | PBE | optimized geometry

Properties
VASP energy: -4.63 eV/atom

Lattice parameters (Å, degrees): 7.953 7.953 11.114 90.00 90.00 147.80
Element x y z (fractional)
1 Ba 0.235 0.765 0.750
2 Ba 0.765 0.235 0.250
3 Pr 0.500 0.500 0.000
4 Pr 0.500 0.500 0.500
5 Te 0.147 0.853 0.057
6 Te 0.147 0.853 0.443
7 Te 0.853 0.147 0.557
8 Te 0.853 0.147 0.943
9 Au 0.030 0.970 0.250
10 Au 0.970 0.030 0.750
11 Se 0.425 0.575 0.250
12 Se 0.575 0.425 0.750

---

5.
Pr2PdAu | PBE | optimized geometry

Properties
VASP energy: -5.29 eV/atom

Lattice parameters (Å, degrees): 4.742 3.956 11.097 90.00 90.00 90.00
Element x y z (fractional)
1 Pr 0.000 0.000 0.000
2 Pr 0.000 0.500 0.500
3 Pr 0.500 0.000 0.274
4 Pr 0.500 0.500 0.774
5 Pd 0.500 0.000 0.551
6 Pd 0.500 0.500 0.051
7 Au 0.000 0.000 0.720
8 Au 0.000 0.500 0.220

---

6.
Al2CoPd | PBE | optimized geometry

Properties
VASP energy: -5.24 eV/atom

Lattice parameters (Å, degrees): 6.021 6.021 6.021 90.00 90.00 90.00
Element x y z (fractional)
1 Al 0.000 0.000 0.000
2 Al 0.000 0.500 0.500
3 Al 0.250 0.250 0.250
4 Al 0.250 0.750 0.750
5 Al 0.500 0.000 0.500
6 Al 0.500 0.500 0.000
7 Al 0.750 0.250 0.750
8 Al 0.750 0.750 0.250
9 Co 0.250 0.250 0.750
10 Co 0.250 0.750 0.250
11 Co 0.750 0.250 0.250
12 Co 0.750 0.750 0.750
13 Pd 0.000 0.000 0.500
14 Pd 0.000 0.500 0.000
15 Pd 0.500 0.000 0.000
16 Pd 0.500 0.500 0.500